Material: K2CrCuF6
Method: DFT, GGA+U
State: relaxed

a = 5.8750 Å, b = 5.8750 Å, c = 5.8750 Å
α = 60.00°, β = 60.00°, γ = 60.00°
With the nearest neighbours (Å) after each atom.
Sites, in units of the cell vectors:
Cu 0.5000 0.5000 0.5000  6 F 2.17
F 0.7617 0.2383 0.7617  1 Cr 1.98, 1 Cu 2.17
F 0.2383 0.7617 0.7617  1 Cr 1.98, 1 Cu 2.17
F 0.7617 0.7617 0.2383  1 Cr 1.98, 1 Cu 2.17
F 0.7617 0.2383 0.2383  1 Cr 1.98, 1 Cu 2.17
F 0.2383 0.7617 0.2383  1 Cr 1.98, 1 Cu 2.17
K 0.2500 0.2500 0.2500  12 F 2.94
Cr 0.0000 0.0000 0.0000  6 F 1.98
F 0.2383 0.2383 0.7617  1 Cr 1.98, 1 Cu 2.17
K 0.7500 0.7500 0.7500  12 F 2.94

Values from the calculation:
N(E_F): 0.0 states/eV per cell
SG: Fm-3m, No. 225
Electronic total energy: -49.74 eV/cell